# ZrTa3Ni, relaxed, DFT PBE
# Energy relative to the lowest polymorph listed for this composition, meV per atom: 0
# Formation enthalpy at 0 K, meV per atom: 703
# Calculated total energy, eV per atom: -9.274
data_ZrTa3Ni
_cell_length_a 4.6563
_cell_length_b 4.6563
_cell_length_c 4.6563
_cell_angle_alpha 90.00
_cell_angle_beta 90.00
_cell_angle_gamma 90.00
_space_group_name_H-M_alt 'P 1'
_space_group_IT_number 1
_space_group_name_Hall 'P 1'
loop_
_atom_site_label
_atom_site_type_symbol
_atom_site_fract_x
_atom_site_fract_y
_atom_site_fract_z
Ni1 Ni 0.0000 0.0000 0.0000
Zr1 Zr 0.5000 0.5000 0.5000
Ta1 Ta 0.0000 0.5000 0.0000
Ta2 Ta 0.0000 0.0000 0.5000
Ta3 Ta 0.5000 0.0000 0.0000

# ZrBe2As, relaxed, DFT PBE
# Formation enthalpy at 0 K, meV per atom: -166
# Calculated total energy, eV per atom: -5.328
data_ZrBe2As
_cell_length_a 3.6630
_cell_length_b 3.5936
_cell_length_c 4.5999
_cell_angle_alpha 89.99
_cell_angle_beta 90.00
_cell_angle_gamma 90.00
_space_group_name_H-M_alt 'P 1'
_space_group_IT_number 1
_space_group_name_Hall 'P 1'
loop_
_atom_site_label
_atom_site_type_symbol
_atom_site_fract_x
_atom_site_fract_y
_atom_site_fract_z
Be1 Be 0.0000 0.7504 0.0301
Be2 Be 0.0000 0.7496 0.4699
As1 As 0.5000 0.7500 0.7500
Zr1 Zr 0.5000 0.2500 0.2500

# Pr2Th4N, relaxed, DFT PBE
# Formation energy (no corrections), meV per atom: -235
# Calculated total energy, eV per atom: -7.030
data_Pr2Th4N
_cell_length_a 5.0773
_cell_length_b 5.0773
_cell_length_c 9.4384
_cell_angle_alpha 74.40
_cell_angle_beta 74.40
_cell_angle_gamma 90.00
_space_group_name_H-M_alt 'P 1'
_space_group_IT_number 1
_space_group_name_Hall 'P 1'
loop_
_atom_site_label
_atom_site_type_symbol
_atom_site_fract_x
_atom_site_fract_y
_atom_site_fract_z
Pr1 Pr 0.6532 0.6532 0.6936
Pr2 Pr 0.3468 0.3468 0.3064
Th1 Th 0.8632 0.8632 0.2736
Th2 Th 0.1368 0.1368 0.7264
Th3 Th 0.0000 0.5000 0.0000
Th4 Th 0.5000 0.0000 0.0000
N1 N 0.0000 0.0000 0.0000

# MgTlOs2, relaxed, DFT PBE
# Formation enthalpy at 0 K, meV per atom: 709
# Calculated total energy, eV per atom: -5.896
data_MgTlOs2
_cell_length_a 2.8749
_cell_length_b 4.2396
_cell_length_c 5.8400
_cell_angle_alpha 90.00
_cell_angle_beta 90.00
_cell_angle_gamma 90.00
_space_group_name_H-M_alt 'P 1'
_space_group_IT_number 1
_space_group_name_Hall 'P 1'
loop_
_atom_site_label
_atom_site_type_symbol
_atom_site_fract_x
_atom_site_fract_y
_atom_site_fract_z
Mg1 Mg 0.5000 0.5000 0.7500
Os1 Os 0.0000 0.0000 0.9517
Os2 Os 0.0000 0.0000 0.5483
Tl1 Tl 0.5000 0.5000 0.2500

# LiDy4Ag3, relaxed, DFT PBE
# Formation enthalpy at 0 K, meV per atom: -219
# Calculated total energy, eV per atom: -3.828
data_LiDy4Ag3
_cell_length_a 3.6743
_cell_length_b 5.1202
_cell_length_c 10.2719
_cell_angle_alpha 90.00
_cell_angle_beta 90.00
_cell_angle_gamma 90.00
_space_group_name_H-M_alt 'P 1'
_space_group_IT_number 1
_space_group_name_Hall 'P 1'
loop_
_atom_site_label
_atom_site_type_symbol
_atom_site_fract_x
_atom_site_fract_y
_atom_site_fract_z
Dy1 Dy 0.0000 0.0000 0.5000
Dy2 Dy 0.0000 0.5000 0.7459
Dy3 Dy 0.0000 0.0000 0.0000
Dy4 Dy 0.0000 0.5000 0.2541
Ag1 Ag 0.5000 0.0000 0.2419
Ag2 Ag 0.5000 0.5000 0.5000
Ag3 Ag 0.5000 0.0000 0.7581
Li1 Li 0.5000 0.5000 0.0000

# AsH2Ir, relaxed, DFT PBE
# Energy relative to the lowest polymorph listed for this composition, meV per atom: 87
# Calculated total energy, eV per atom: -4.939
data_AsH2Ir
_cell_length_a 2.8642
_cell_length_b 3.9939
_cell_length_c 3.9937
_cell_angle_alpha 75.45
_cell_angle_beta 90.00
_cell_angle_gamma 90.01
_space_group_name_H-M_alt 'P 1'
_space_group_IT_number 1
_space_group_name_Hall 'P 1'
loop_
_atom_site_label
_atom_site_type_symbol
_atom_site_fract_x
_atom_site_fract_y
_atom_site_fract_z
H1 H 0.9313 0.2637 0.3511
H2 H 0.9313 0.9323 0.0189
As1 As 0.4313 0.6656 0.7529
Ir1 Ir 0.4313 0.0911 0.1784

# Tb12Th5Mg, relaxed, DFT PBE
# Formation enthalpy at 0 K, meV per atom: 21
# Calculated total energy, eV per atom: -5.216
data_Tb12Th5Mg
_cell_length_a 6.1834
_cell_length_b 6.1834
_cell_length_c 17.3552
_cell_angle_alpha 93.37
_cell_angle_beta 93.37
_cell_angle_gamma 120.02
_space_group_name_H-M_alt 'P 1'
_space_group_IT_number 1
_space_group_name_Hall 'P 1'
loop_
_atom_site_label
_atom_site_type_symbol
_atom_site_fract_x
_atom_site_fract_y
_atom_site_fract_z
Tb1 Tb 0.2206 0.2206 0.6633
Tb2 Tb 0.7794 0.7794 0.3367
Tb3 Tb 0.3874 0.3874 0.1661
Tb4 Tb 0.6126 0.6126 0.8339
Tb5 Tb 0.7243 0.0553 0.1659
Tb6 Tb 0.9447 0.2757 0.8341
Tb7 Tb 0.0553 0.7243 0.1659
Tb8 Tb 0.2757 0.9447 0.8341
Tb9 Tb 0.4465 0.1127 0.3363
Tb10 Tb 0.1127 0.4465 0.3363
Tb11 Tb 0.8873 0.5535 0.6637
Tb12 Tb 0.5535 0.8873 0.6637
Th1 Th 0.5000 0.5000 0.5000
Th2 Th 0.8332 0.1668 0.5000
Th3 Th 0.1668 0.8332 0.5000
Th4 Th 0.3333 0.6667 0.0000
Th5 Th 0.6667 0.3333 0.0000
Mg1 Mg 0.0000 0.0000 0.0000

# LiSc2Ru, relaxed, DFT PBE
# Energy relative to the lowest polymorph listed for this composition, meV per atom: 199
# Formation enthalpy at 0 K, meV per atom: -165
# Calculated total energy, eV per atom: -6.128
data_LiSc2Ru
_cell_length_a 5.6929
_cell_length_b 5.6929
_cell_length_c 5.6929
_cell_angle_alpha 146.59
_cell_angle_beta 132.49
_cell_angle_gamma 59.33
_space_group_name_H-M_alt 'P 1'
_space_group_IT_number 1
_space_group_name_Hall 'P 1'
loop_
_atom_site_label
_atom_site_type_symbol
_atom_site_fract_x
_atom_site_fract_y
_atom_site_fract_z
Li1 Li 0.4629 0.4629 0.0000
Ru1 Ru 0.2490 0.7490 0.5000
Sc1 Sc 0.0394 0.0394 0.0000
Sc2 Sc 0.7487 0.2487 0.5000